This record from the Alexandria database describes K4MgU3S8 after structural relaxation. The functional is GGA-PBE.

Lattice parameters (Å, degrees): 8.0355 8.7301 8.0364 117.41 120.00 90.00
Sites, in units of the cell vectors:
1 K 0.0000 0.0000 0.0000
2 U 0.5000 0.5000 0.0000
3 U 0.0000 0.5000 0.5000
4 S 0.7690 0.3007 0.0317
5 K 0.5000 0.0000 0.5000
6 Mg 0.0000 0.5000 0.0000
7 S 0.7374 0.6993 0.9683
8 S 0.7689 0.3006 0.5379
9 S 0.7348 0.7045 0.4697
10 S 0.2311 0.6994 0.4621
11 U 0.5000 0.5000 0.5000
12 K 0.0000 0.0000 0.5000
13 K 0.5000 0.0000 0.0000
14 S 0.2652 0.2955 0.5303
15 S 0.2626 0.3007 0.0317
16 S 0.2310 0.6993 0.9683

Summary:
Spin magnetization: 8.0 μB per formula unit
Raw formation energy: -22.192 eV per formula unit
Total energy: -5.94 eV per atom

This record from the Alexandria database describes K3Mg2US6 after structural relaxation. The functional is GGA-PBE.

Lattice parameters (Å, degrees): 6.7609 6.7609 7.6754 98.41 98.41 120.03
Sites, in units of the cell vectors:
1 Mg 0.3335 0.6665 0.0000
2 S 0.2640 0.2640 0.8046
3 K 0.5000 0.5000 0.5000
4 K 0.1693 0.8307 0.5000
5 U 0.0000 0.0000 0.0000
6 Mg 0.6665 0.3335 0.0000
7 S 0.9350 0.6055 0.8054
8 S 0.7360 0.7360 0.1954
9 S 0.3945 0.0650 0.1946
10 S 0.6055 0.9350 0.8054
11 S 0.0650 0.3945 0.1946
12 K 0.8307 0.1693 0.5000

Summary:
Spin magnetization: 1.0 μB per formula unit
Raw formation energy: -16.581 eV per formula unit
Total energy: -4.93 eV per atom

This record from the Alexandria database describes K2MgVS4 after structural relaxation. The functional is GGA-PBE.

Lattice parameters (Å, degrees): 5.8411 7.2508 12.1308 84.44 76.07 66.25
Sites, in units of the cell vectors:
1 S 0.2301 0.1973 0.8942
2 K 0.9301 0.5000 0.1398
3 S 0.4283 0.6973 0.3942
4 V 0.2500 0.5000 0.5000
5 Mg 0.0000 0.0000 0.0000
6 K 0.5699 0.5000 0.8602
7 S 0.5725 0.1973 0.1058
8 S 0.8744 0.6973 0.6058
9 V 0.5000 0.0000 0.0000
10 Mg 0.7500 0.5000 0.5000
11 S 0.5199 0.3027 0.6058
12 K 0.8199 0.0000 0.3602
13 S 0.1775 0.3027 0.3942
14 S 0.8756 0.8027 0.8942
15 K 0.1801 0.0000 0.6398
16 S 0.3217 0.8027 0.1058

Summary:
Spin magnetization: 1.0 μB per formula unit
Raw formation energy: -8.936 eV per formula unit
Total energy: -4.79 eV per atom

This record from the Alexandria database describes KMgZnS2 after structural relaxation. The functional is GGA-PBE.

Lattice parameters (Å, degrees): 6.6444 7.5436 5.8805 113.07 90.00 90.00
Sites, in units of the cell vectors:
1 S 0.3023 0.2124 0.1066
2 K 0.2835 0.5000 0.7500
3 S 0.3023 0.7876 0.3934
4 Mg 0.5002 0.0000 0.7500
5 K 0.7165 0.5000 0.2500
6 S 0.6977 0.2124 0.6066
7 Zn 0.0000 0.0000 0.5000
8 Mg 0.4998 0.0000 0.2500
9 S 0.6977 0.7876 0.8934
10 Zn 0.0000 0.0000 0.0000

Summary:
Spin magnetization: 0.0 μB per formula unit
Raw formation energy: -3.974 eV per formula unit
Total energy: -3.24 eV per atom

This record from the Alexandria database describes K2MgZn2S4 after structural relaxation. The functional is GGA-PBE.

Lattice parameters (Å, degrees): 3.8477 7.4324 7.8015 107.73 104.28 90.00
Sites, in units of the cell vectors:
1 Zn 0.3293 0.0167 0.6586
2 S 0.5206 0.7808 0.0412
3 K 0.8764 0.4613 0.7528
4 Zn 0.6707 0.9833 0.3414
5 S 0.7906 0.8187 0.5812
6 S 0.4794 0.2192 0.9588
7 Mg 0.0000 0.0000 0.0000
8 S 0.2094 0.1813 0.4188
9 K 0.1236 0.5387 0.2472

Summary:
Spin magnetization: 0.0 μB per formula unit
Raw formation energy: -9.776 eV per formula unit
Total energy: -3.62 eV per atom

This record from the Alexandria database describes K2MgZrS4 after structural relaxation. The functional is GGA-PBE.

Lattice parameters (Å, degrees): 3.8556 6.6955 7.6277 107.20 90.00 90.00
Sites, in units of the cell vectors:
1 S 0.5000 0.2374 0.1891
2 K 0.5000 0.0000 0.5000
3 K 0.0000 0.5000 0.5000
4 Mg 0.0000 0.0000 0.0000
5 S 0.0000 0.7238 0.1966
6 S 0.0000 0.2762 0.8034
7 S 0.5000 0.7626 0.8109
8 Zr 0.5000 0.5000 0.0000

Summary:
Spin magnetization: 0.0 μB per formula unit
Raw formation energy: -11.571 eV per formula unit
Total energy: -5.05 eV per atom

This record from the Alexandria database describes K4MgZr3S8 after structural relaxation. The functional is GGA-PBE.

Lattice parameters (Å, degrees): 7.6154 8.5847 7.6161 116.33 120.00 90.00
Sites, in units of the cell vectors:
1 S 0.7298 0.6962 0.9630
2 S 0.7334 0.7003 0.4668
3 S 0.2332 0.6962 0.9630
4 K 0.0000 0.0000 0.5000
5 K 0.0000 0.0000 0.0000
6 S 0.7668 0.3038 0.0370
7 Zr 0.5000 0.5000 0.5000
8 Zr 0.0000 0.5000 0.5000
9 K 0.5000 0.0000 0.5000
10 S 0.2702 0.3038 0.0370
11 S 0.7668 0.3038 0.5337
12 Mg 0.0000 0.5000 0.0000
13 S 0.2666 0.2997 0.5332
14 K 0.5000 0.0000 0.0000
15 S 0.2332 0.6962 0.4663
16 Zr 0.5000 0.5000 0.0000

Summary:
Spin magnetization: 0.0 μB per formula unit
Raw formation energy: -23.653 eV per formula unit
Total energy: -5.52 eV per atom

This record from the Alexandria database describes K2MgSb after structural relaxation. The functional is GGA-PBE.

Lattice parameters (Å, degrees): 12.3885 12.3885 12.3885 17.45 17.45 17.45
Sites, in units of the cell vectors:
1 Mg 0.2500 0.2500 0.2500
2 K 0.4920 0.4920 0.4920
3 K 0.0080 0.0080 0.0080
4 Sb 0.7500 0.7500 0.7500

Summary:
Spin magnetization: 0.0 μB per formula unit
Raw formation energy: 0.360 eV per formula unit
Offset from the most stable computed form: 1.67 eV per formula unit
Total energy: -1.89 eV per atom

This record from the Alexandria database describes KMgSb2 after structural relaxation. The functional is GGA-PBE.

Lattice parameters (Å, degrees): 3.3250 4.9605 8.1030 90.00 90.00 90.00
Sites, in units of the cell vectors:
1 Sb 0.5000 0.5000 0.2289
2 Mg 0.5000 0.5000 0.8775
3 Sb 0.0000 0.0000 0.9190
4 K 0.0000 0.0000 0.4746

Summary:
Spin magnetization: 0.0 μB per formula unit
Raw formation energy: -0.107 eV per formula unit
Total energy: -2.76 eV per atom

This record from the Alexandria database describes K4MgSb after structural relaxation. The functional is GGA-PBE.

Lattice parameters (Å, degrees): 7.1603 7.1603 7.1603 60.00 60.00 60.00
Sites, in units of the cell vectors:
1 K 0.8794 0.3735 0.3735
2 K 0.3735 0.3735 0.8794
3 K 0.3735 0.3735 0.3735
4 Mg 0.7500 0.7500 0.7500
5 K 0.3735 0.8794 0.3735
6 Sb 0.0000 0.0000 0.0000

Summary:
Spin magnetization: 0.0 μB per formula unit
Raw formation energy: 1.298 eV per formula unit
Total energy: -1.47 eV per atom

This record from the Alexandria database describes K2MgSb after structural relaxation. The functional is GGA-PBE.

Lattice parameters (Å, degrees): 6.3247 6.3247 5.2005 65.72 65.72 48.52
Sites, in units of the cell vectors:
1 K 0.9997 0.9997 0.0003
2 Mg 0.7500 0.7500 0.7500
3 K 0.5003 0.5003 0.4997
4 Sb 0.2500 0.2500 0.2500

Summary:
Spin magnetization: 0.0 μB per formula unit
Raw formation energy: -0.398 eV per formula unit
Offset from the most stable computed form: 0.91 eV per formula unit
Total energy: -2.08 eV per atom

This record from the Alexandria database describes K2MgSb after structural relaxation. The functional is GGA-PBE.

Lattice parameters (Å, degrees): 5.4711 3.4560 8.1655 66.01 90.00 90.00
Sites, in units of the cell vectors:
1 Mg 0.5000 0.2500 0.2500
2 K 0.0000 0.4723 0.5244
3 Sb 0.5000 0.7500 0.7500
4 K 0.0000 0.0277 0.9756

Summary:
Spin magnetization: 0.0 μB per formula unit
Raw formation energy: -0.219 eV per formula unit
Offset from the most stable computed form: 1.09 eV per formula unit
Total energy: -2.03 eV per atom

This record from the Alexandria database describes K2MgSb after structural relaxation. The functional is GGA-PBE.

Lattice parameters (Å, degrees): 5.8763 5.8763 5.8763 60.00 60.00 60.00
Sites, in units of the cell vectors:
1 K 0.7500 0.7500 0.7500
2 Mg 0.0000 0.0000 0.0000
3 Sb 0.5000 0.5000 0.5000
4 K 0.2500 0.2500 0.2500

Summary:
Spin magnetization: 0.0 μB per formula unit
Raw formation energy: -0.267 eV per formula unit
Offset from the most stable computed form: 1.04 eV per formula unit
Total energy: -2.04 eV per atom

This record from the Alexandria database describes K2MgSb after structural relaxation. The functional is GGA-PBE.

Lattice parameters (Å, degrees): 6.7474 6.7474 6.7474 139.32 127.60 68.37
Sites, in units of the cell vectors:
1 K 0.0331 0.0331 0.0000
2 Mg 0.4381 0.4381 0.0000
3 K 0.7303 0.2303 0.5000
4 Sb 0.2985 0.7985 0.5000

Summary:
Spin magnetization: 0.4 μB per formula unit
Raw formation energy: -0.925 eV per formula unit
Offset from the most stable computed form: 0.38 eV per formula unit
Total energy: -2.21 eV per atom

This record from the Alexandria database describes K2MgSb after structural relaxation. The functional is GGA-PBE.

Lattice parameters (Å, degrees): 9.8783 9.8783 9.8783 28.27 28.27 28.27
Sites, in units of the cell vectors:
1 K 0.2200 0.2200 0.2200
2 K 0.0299 0.0299 0.0299
3 Sb 0.7920 0.7920 0.7920
4 Mg 0.4581 0.4581 0.4581

Summary:
Spin magnetization: 0.0 μB per formula unit
Raw formation energy: -1.305 eV per formula unit
Offset from the most stable computed form: 0.00 eV per formula unit
Total energy: -2.30 eV per atom

This record from the Alexandria database describes KMgSb2 after structural relaxation. The functional is GGA-PBE.

Lattice parameters (Å, degrees): 5.6946 5.6946 10.2209 73.82 73.82 90.00
Sites, in units of the cell vectors:
1 K 0.0000 0.0000 0.0000
2 Sb 0.8750 0.7448 0.7500
3 Sb 0.2552 0.6250 0.2500
4 Sb 0.4948 0.1250 0.2500
5 Mg 0.2500 0.7500 0.5000
6 Sb 0.3750 0.5052 0.7500
7 K 0.7500 0.2500 0.5000
8 Mg 0.5000 0.5000 0.0000

Summary:
Spin magnetization: 0.0 μB per formula unit
Raw formation energy: -0.849 eV per formula unit
Total energy: -2.95 eV per atom

This record from the Alexandria database describes KMgSb2 after structural relaxation. The functional is GGA-PBE.

Lattice parameters (Å, degrees): 5.5095 5.5095 5.5095 60.00 60.00 60.00
Sites, in units of the cell vectors:
1 Mg 0.7500 0.7500 0.7500
2 Sb 0.0000 0.0000 0.0000
3 K 0.5000 0.5000 0.5000
4 Sb 0.2500 0.2500 0.2500

Summary:
Spin magnetization: 0.0 μB per formula unit
Raw formation energy: 0.229 eV per formula unit
Total energy: -2.68 eV per atom

This record from the Alexandria database describes K2MgSb after structural relaxation. The functional is GGA-PBE.

Lattice parameters (Å, degrees): 5.9932 5.9932 5.9932 125.43 125.43 80.83
Sites, in units of the cell vectors:
1 K 0.0000 0.0000 0.0000
2 Sb 0.7500 0.2500 0.5000
3 K 0.2500 0.7500 0.5000
4 Mg 0.5000 0.5000 0.0000

Summary:
Spin magnetization: 0.0 μB per formula unit
Raw formation energy: -0.515 eV per formula unit
Offset from the most stable computed form: 0.79 eV per formula unit
Total energy: -2.11 eV per atom

This record from the Alexandria database describes KMgSb2 after structural relaxation. The functional is GGA-PBE.

Lattice parameters (Å, degrees): 9.9778 9.9778 9.9778 23.95 23.95 23.95
Sites, in units of the cell vectors:
1 Sb 0.9948 0.9948 0.9948
2 K 0.5046 0.5046 0.5046
3 Sb 0.2678 0.2678 0.2678
4 Mg 0.7327 0.7327 0.7327

Summary:
Spin magnetization: 0.0 μB per formula unit
Raw formation energy: 0.220 eV per formula unit
Total energy: -2.68 eV per atom

This record from the Alexandria database describes KMgSb2 after structural relaxation. The functional is GGA-PBE.

Lattice parameters (Å, degrees): 6.0020 6.0020 3.3202 89.88 89.88 110.10
Sites, in units of the cell vectors:
1 K 0.5000 0.0000 0.5000
2 Sb 0.0000 0.0000 0.0000
3 Mg 0.0000 0.5000 0.5000
4 Sb 0.5000 0.5000 0.0000

Summary:
Spin magnetization: 0.0 μB per formula unit
Raw formation energy: -0.511 eV per formula unit
Total energy: -2.86 eV per atom

This record from the Alexandria database describes KMgSb2 after structural relaxation. The functional is GGA-PBE.

Lattice parameters (Å, degrees): 5.0734 5.0734 8.1195 64.51 64.51 46.19
Sites, in units of the cell vectors:
1 K 0.5407 0.5407 0.4857
2 Sb 0.6755 0.6755 0.8440
3 Sb 0.9648 0.9648 0.1619
4 Mg 0.3190 0.3190 0.0085

Summary:
Spin magnetization: 0.0 μB per formula unit
Raw formation energy: -1.021 eV per formula unit
Total energy: -2.99 eV per atom

This record from the Alexandria database describes KMgSb2 after structural relaxation. The functional is GGA-PBE.

Lattice parameters (Å, degrees): 5.7344 5.7344 5.7344 128.21 128.21 76.28
Sites, in units of the cell vectors:
1 Mg 0.7500 0.2500 0.5000
2 K 0.2500 0.7500 0.5000
3 Sb 0.0000 0.0000 0.0000
4 Sb 0.5000 0.5000 0.0000

Summary:
Spin magnetization: 0.0 μB per formula unit
Raw formation energy: -0.461 eV per formula unit
Total energy: -2.85 eV per atom

This record from the Alexandria database describes KMgSb2 after structural relaxation. The functional is GGA-PBE.

Lattice parameters (Å, degrees): 4.9305 4.9327 4.6553 90.00 90.00 90.00
Sites, in units of the cell vectors:
1 K 0.5000 0.0000 0.5000
2 Sb 0.5000 0.5000 0.0000
3 Sb 0.0000 0.0000 0.0000
4 Mg 0.0000 0.5000 0.5000

Summary:
Spin magnetization: 0.0 μB per formula unit
Raw formation energy: -0.473 eV per formula unit
Total energy: -2.85 eV per atom

This record from the Alexandria database describes K2MgSb2 after structural relaxation. The functional is GGA-PBE.

Lattice parameters (Å, degrees): 4.8326 4.8326 8.3208 73.12 73.12 90.00
Sites, in units of the cell vectors:
1 K 0.7500 0.2500 0.5000
2 K 0.2500 0.7500 0.5000
3 Sb 0.4096 0.4096 0.1808
4 Sb 0.5904 0.5904 0.8192
5 Mg 0.0000 0.0000 0.0000

Summary:
Spin magnetization: 0.0 μB per formula unit
Raw formation energy: 0.367 eV per formula unit
Offset from the most stable computed form: 2.27 eV per formula unit
Total energy: -2.33 eV per atom

This record from the Alexandria database describes KMgSb2 after structural relaxation. The functional is GGA-PBE.

Lattice parameters (Å, degrees): 3.4518 3.4518 9.5261 90.00 90.00 89.93
Sites, in units of the cell vectors:
1 K 0.5000 0.5000 0.2500
2 Sb 0.0000 0.0000 0.9623
3 Mg 0.5000 0.5000 0.7500
4 Sb 0.0000 0.0000 0.5377

Summary:
Spin magnetization: 0.0 μB per formula unit
Raw formation energy: -0.997 eV per formula unit
Total energy: -2.98 eV per atom

This record from the Alexandria database describes KMg6Sb after structural relaxation. The functional is GGA-PBE.

Lattice parameters (Å, degrees): 8.6523 8.6523 5.0889 90.00 90.00 137.91
Sites, in units of the cell vectors:
1 Mg 0.7049 0.8082 0.0000
2 Mg 0.6238 0.3762 0.0000
3 Mg 0.1196 0.8804 0.0000
4 Mg 0.3230 0.1752 0.5000
5 Mg 0.1918 0.2951 0.0000
6 K 0.7976 0.2024 0.5000
7 Mg 0.8248 0.6770 0.5000
8 Sb 0.4146 0.5854 0.5000

Summary:
Spin magnetization: 0.0 μB per formula unit
Raw formation energy: 0.211 eV per formula unit
Total energy: -1.82 eV per atom